Entry from Alexandria: crystalline Ca2HoSe4 at its relaxed geometry (PBE).

The value obtained for the magnetic moment is 0.000 μB per formula unit. The uncorrected formation energy comes out at -1.659 eV/atom. The value obtained for the electronic total energy is -68.3 eV per cell.

Cell: 7.3694 7.3694 13.5225 Å, 90.00 90.00 148.72°
Positions (direct):
1 Ca 0.1318 0.8682 0.5709
2 Ca 0.1318 0.8682 0.9291
3 Ca 0.8682 0.1318 0.0709
4 Ca 0.8682 0.1318 0.4291
5 Ho 0.3757 0.6243 0.7500
6 Ho 0.6243 0.3757 0.2500
7 Se 0.0189 0.9811 0.7500
8 Se 0.2214 0.7786 0.1261
9 Se 0.2214 0.7786 0.3739
10 Se 0.5000 0.5000 0.0000
11 Se 0.5000 0.5000 0.5000
12 Se 0.7786 0.2214 0.6261
13 Se 0.7786 0.2214 0.8739
14 Se 0.9811 0.0189 0.2500